1.
Density functional theory data (PBE) for a relaxed PmGdC2 crystal.

Lattice parameters (Å, degrees): 3.6893 3.6893 18.0741 90.00 90.00 120.00
Space group R-3m (No. 166, hexagonal axes)
Asymmetric unit:
Pm  0.0000  0.0000  0.0000 x3
Gd  0.0000  0.0000  0.5000 x3
C  0.0000  0.0000  0.2470 x6

Calculated values
For the formation enthalpy at 0 K, the calculation gives 0.197 eV/atom.

=====

2.
Density functional theory data (PBE) for a relaxed Pm3GdC crystal.

Lattice parameters (Å, degrees): 5.204 5.204 5.204 90.00 90.00 90.00
Space group Pm-3m (No. 221)
Asymmetric unit:
Pm  0.000  0.000  0.500 x3
Gd  0.500  0.500  0.500 x1
C  0.000  0.000  0.000 x1

Calculated values
For the formation enthalpy at 0 K, the calculation gives 0.073 eV/atom.

=====

3.
Density functional theory data (PBE) for a relaxed Pr2GdC crystal.

Lattice parameters (Å, degrees): 3.6626 3.6626 30.2019 90.00 90.00 120.00
Space group R-3m (No. 166, hexagonal axes)
Asymmetric unit:
Pr  0.0000  0.0000  0.1190 x6
Gd  0.0000  0.0000  0.0000 x3
C  0.0000  0.0000  0.5000 x3

Calculated values
For the formation enthalpy at 0 K, the calculation gives 0.088 eV/atom.

=====

4.
Density functional theory data (PBE) for a relaxed GdPuC crystal.

Lattice parameters (Å, degrees): 6.160 6.160 6.160 90.00 90.00 90.00
Space group F-43m (No. 216)
Asymmetric unit:
Gd  0.000  0.000  0.000 x4
Pu  0.000  0.000  0.500 x4
C  0.250  0.250  0.750 x4

Calculated values
For the formation enthalpy at 0 K, the calculation gives 0.281 eV/atom. The calculation puts the polymorph energy (0 for the lowest one) at 348 meV per atom.

=====

5.
Density functional theory data (PBE) for a relaxed GdPuC crystal.

Lattice parameters (Å, degrees): 3.4993 3.4993 6.3113 90.00 90.00 120.00
Space group P3m1 (No. 156)
Asymmetric unit:
Gd  0.0000  0.0000  0.0000 x1
Pu  0.3333  0.6667  0.4477 x1
C  0.6667  0.3333  0.2283 x1

Calculated values
For the formation enthalpy at 0 K, the calculation gives -0.068 eV/atom. The calculation puts the polymorph energy (0 for the lowest one) at 0 meV per atom.

=====

6.
Density functional theory data (PBE) for a relaxed RbGd2C crystal.

Lattice parameters (Å, degrees): 3.7274 3.7274 31.8905 90.00 90.00 120.00
Space group R-3m (No. 166, hexagonal axes)
Asymmetric unit:
Rb  0.0000  0.0000  0.0000 x3
Gd  0.0000  0.0000  0.1252 x6
C  0.0000  0.0000  0.5000 x3

Calculated values
For the formation enthalpy at 0 K, the calculation gives 0.009 eV/atom.

=====

7.
Density functional theory data (PBE) for a relaxed GdReC2 crystal.

Lattice parameters (Å, degrees): 3.2330 3.2330 16.5817 90.00 90.00 120.00
Space group R-3m (No. 166, hexagonal axes)
Asymmetric unit:
Gd  0.0000  0.0000  0.0000 x3
Re  0.0000  0.0000  0.5000 x3
C  0.0000  0.0000  0.2360 x6

Calculated values
For the formation enthalpy at 0 K, the calculation gives 0.085 eV/atom.

=====

8.
Density functional theory data (PBE) for a relaxed GdReC crystal.

Lattice parameters (Å, degrees): 2.920 2.920 10.438 90.00 90.00 90.00
Space group I4mm (No. 107)
Asymmetric unit:
Gd  0.000  0.000  0.000 x2
Re  0.000  0.000  0.273 x2
C  0.000  0.000  0.700 x2

Calculated values
For the formation enthalpy at 0 K, the calculation gives 0.342 eV/atom. The calculation puts the polymorph energy (0 for the lowest one) at 237 meV per atom.

=====

9.
Density functional theory data (PBE) for a relaxed GdReC crystal.

Lattice parameters (Å, degrees): 3.5472 3.5472 4.5776 90.00 90.00 120.00
Space group P-6m2 (No. 187)
Asymmetric unit:
Gd  0.0000  0.0000  0.0000 x1
Re  0.6667  0.3333  0.5000 x1
C  0.3333  0.6667  0.5000 x1

Calculated values
For the formation enthalpy at 0 K, the calculation gives 0.105 eV/atom. The calculation puts the polymorph energy (0 for the lowest one) at 0 meV per atom.

=====

10.
Density functional theory data (PBE) for a relaxed Gd3Re5C12 crystal.

Lattice parameters (Å, degrees): 13.157 13.157 13.157 90.00 90.00 90.00
Space group Ia-3d (No. 230)
Asymmetric unit:
Gd  0.000  0.250  0.125 x24
Re  0.000  0.000  0.000 x16
Re  0.000  0.250  0.375 x24
C  0.035  0.045  0.646 x96

Calculated values
For the formation enthalpy at 0 K, the calculation gives 0.804 eV/atom.

=====

11.
Density functional theory data (PBE) for a relaxed Gd2ReC2 crystal.

Lattice parameters (Å, degrees): 6.613 5.192 9.991 90.00 90.00 90.00
Space group Pnma (No. 62)
Asymmetric unit:
Gd  0.031  0.250  0.217 x4
Gd  0.183  0.250  0.554 x4
Re  0.223  0.250  0.863 x4
C  0.042  0.750  0.241 x4
C  0.181  0.750  0.546 x4

Calculated values
For the formation enthalpy at 0 K, the calculation gives -0.361 eV/atom.

=====

12.
Density functional theory data (PBE) for a relaxed Gd8Rh5C12 crystal.

Lattice parameters (Å, degrees): 28.097 3.669 7.443 90.00 93.59 90.00
Space group C2/m (No. 12)
Asymmetric unit:
Gd  0.047  0.000  0.293 x4
Gd  0.087  0.000  0.827 x4
Gd  0.199  0.000  0.609 x4
Gd  0.206  0.000  0.121 x4
Rh  0.000  0.500  0.000 x2
Rh  0.109  0.500  0.484 x4
Rh  0.117  0.500  0.123 x4
C  0.023  0.500  0.755 x4
C  0.049  0.500  0.615 x4
C  0.160  0.500  0.889 x4
C  0.168  0.500  0.347 x4
C  0.207  0.500  0.869 x4
C  0.216  0.500  0.366 x4

Calculated values
For the formation enthalpy at 0 K, the calculation gives -0.365 eV/atom.

=====

13.
Density functional theory data (PBE) for a relaxed Gd2Rh4C crystal.

Lattice parameters (Å, degrees): 4.143 4.143 14.354 90.00 90.00 90.00
Space group I4/mmm (No. 139)
Asymmetric unit:
Gd  0.000  0.000  0.158 x4
Rh  0.000  0.000  0.358 x4
Rh  0.000  0.500  0.000 x4
C  0.000  0.000  0.500 x2

Calculated values
For the formation enthalpy at 0 K, the calculation gives -0.418 eV/atom.

=====

14.
Density functional theory data (PBE) for a relaxed GdRh3C crystal.

Lattice parameters (Å, degrees): 4.202 4.202 4.202 90.00 90.00 90.00
Space group Pm-3m (No. 221)
Asymmetric unit:
Gd  0.000  0.000  0.000 x1
Rh  0.000  0.500  0.500 x3
C  0.500  0.500  0.500 x1

Calculated values
For the formation enthalpy at 0 K, the calculation gives -0.469 eV/atom.

=====

15.
Density functional theory data (PBE) for a relaxed Gd12Ru3C5 crystal.

Lattice parameters (Å, degrees): 15.494 15.494 15.494 90.00 90.00 90.00
Space group Ia-3d (No. 230)
Asymmetric unit:
Gd  0.026  0.055  0.653 x96
Ru  0.000  0.250  0.125 x24
C  0.000  0.000  0.000 x16
C  0.000  0.250  0.375 x24

Calculated values
For the formation enthalpy at 0 K, the calculation gives -0.101 eV/atom.

=====

16.
Density functional theory data (PBE) for a relaxed GdRuC2 crystal.

Lattice parameters (Å, degrees): 3.3098 3.3098 15.8016 90.00 90.00 120.00
Space group R-3m (No. 166, hexagonal axes)
Asymmetric unit:
Gd  0.0000  0.0000  0.0000 x3
Ru  0.0000  0.0000  0.5000 x3
C  0.0000  0.0000  0.2332 x6

Calculated values
For the formation enthalpy at 0 K, the calculation gives 0.265 eV/atom. The calculation puts the polymorph energy (0 for the lowest one) at 455 meV per atom.

=====

17.
Density functional theory data (PBE) for a relaxed GdRuC2 crystal.

Lattice parameters (Å, degrees): 4.369 9.304 5.272 90.00 90.00 90.00
Space group Cmcm (No. 63)
Asymmetric unit:
Gd  0.000  0.184  0.250 x4
Ru  0.000  0.500  0.000 x4
C  0.158  0.083  0.750 x8

Calculated values
For the formation enthalpy at 0 K, the calculation gives -0.190 eV/atom. The calculation puts the polymorph energy (0 for the lowest one) at 0 meV per atom.

=====

18.
Density functional theory data (PBE) for a relaxed GdScC crystal.

Lattice parameters (Å, degrees): 3.4740 3.4740 6.0322 90.00 90.00 120.00
Space group P3m1 (No. 156)
Asymmetric unit:
Gd  0.0000  0.0000  0.0000 x1
Sc  0.3333  0.6667  0.5717 x1
C  0.6667  0.3333  0.7580 x1

Calculated values
For the formation enthalpy at 0 K, the calculation gives -0.285 eV/atom.

=====

19.
Density functional theory data (PBE) for a relaxed GdSc2C crystal.

Lattice parameters (Å, degrees): 3.3295 3.3295 27.3993 90.00 90.00 120.00
Space group R-3m (No. 166, hexagonal axes)
Asymmetric unit:
Gd  0.0000  0.0000  0.0000 x3
Sc  0.0000  0.0000  0.1220 x6
C  0.0000  0.0000  0.5000 x3

Calculated values
For the formation enthalpy at 0 K, the calculation gives -0.215 eV/atom.